Below is a relaxed TiBBr2 crystal, with properties calculated at the PBE-GGA level.

```
TiBBr2
1.0
0.783 -3.950 2.420
-3.214 -1.563 3.050
-2.469 -3.878 -0.970
B Br Ti
1 2 1
Cartesian
0.000 0.000 0.000
-1.225 -2.348 1.125
-3.675 -7.043 3.375
-2.450 -4.695 2.250
```

Summary:
**Size of the total moment**: 1.43 μB per formula unit
**ΔE to the lowest computed polymorph**: 2.27 eV per formula unit

***

Below is a relaxed Ti3BBr crystal, with properties calculated at the PBE-GGA level.

```
Ti3BBr
1.0
4.380 0.000 0.000
0.000 4.380 0.000
0.000 0.000 4.380
B Br Ti
1 1 3
Cartesian
0.000 0.000 0.000
2.190 2.190 2.190
0.000 2.190 0.000
0.000 0.000 2.190
2.190 0.000 0.000
```

Summary:
**Size of the total moment**: 1.02 μB per formula unit
**ΔE to the lowest computed polymorph**: 0.00 eV per formula unit

***

Number 1: raw total energy -3.74 eV/atom, N(E_F) 3.048 states/eV/f.u., formation energy (no corrections) 2.9 eV/f.u.. Number 2: raw total energy -6.28 eV/atom, N(E_F) 6.828 states/eV/f.u., formation energy (no corrections) 0.7 eV/f.u..